Density functional theory data (PBE+U) for an optimized crystal structure of CrPb4O6.

It has space group Cc (No. 9), with a = 13.3071 Å, b = 6.5490 Å, c = 11.7461 Å, α = 90.00°, β = 117.79° and γ = 90.00°. The asymmetric unit holds Cr at (0.0000, 0.2102, 0.0000), Pb at (0.0689, 0.3024, 0.6128), Pb at (0.2513, 0.3975, 0.9612), Pb at (0.2937, 0.1046, 0.2565), Pb at (0.4516, 0.3567, 0.7551), O at (0.0608, 0.0130, 0.4638), O at (0.0707, 0.2655, 0.1697), O at (0.2462, 0.2093, 0.8005), O at (0.3447, 0.3246, 0.4326), O at (0.4256, 0.3432, 0.1412) and O at (0.4906, 0.0636, 0.4100).

The theoretical density is 7.2 g cm⁻³. The uncorrected energy comes out at -5.883 eV/atom.